A plane-wave DFT calculation with PBE+U was carried out for crystalline InNi2AsO at its relaxed geometry.

Computed properties:
Total moment   2.03 μB per cell
Total DFT energy (no corrections)   -17.6 eV per cell
Volume   76.0 Å³ per cell

a = 4.058 Å, b = 4.058 Å, c = 4.617 Å
α = 90.00°, β = 90.00°, γ = 90.00°
Positions (direct):
Ni 0.000 0.500 0.000
Ni 0.500 0.000 0.000
As 0.500 0.500 0.500
O 0.000 0.000 0.000
In 0.000 0.000 0.500